No. 1
# Li2MgPb2 | Alexandria via LeMat-Bulk | SCAN | PBEsol geometry
data_Li2MgPb2
_chemical_formula_sum 'Li4 Mg2 Pb4'
_space_group_name_H-M_alt 'P 4/m b m'
_space_group_IT_number 127
_space_group_name_Hall '-P 4 2ab'
_cell_length_a 7.876
_cell_length_b 7.876
_cell_length_c 3.677
_cell_angle_alpha 90.00
_cell_angle_beta 90.00
_cell_angle_gamma 90.00
loop_
_atom_site_label
_atom_site_type_symbol
_atom_site_fract_x
_atom_site_fract_y
_atom_site_fract_z
_atom_site_occupancy
Li1 Li 0.156 0.344 0.000 1
Mg1 Mg 0.000 0.000 0.500 1
Pb1 Pb 0.143 0.643 0.500 1
# * crystal system: tetragonal
# * density of states at the Fermi level: 3.64 states/eV per cell
# * E_form: -301.2 meV/atom
# * total energy: -325.64 eV for the cell shown
# * M_tot: 0.0 μB/cell

---

No. 2
# Li2MgPb | Alexandria via LeMat-Bulk | SCAN | PBEsol geometry
data_Li2MgPb
_chemical_formula_sum 'Li2 Mg1 Pb1'
_space_group_name_H-M_alt 'P 4/m m m'
_space_group_IT_number 123
_space_group_name_Hall '-P 4 2'
_cell_length_a 4.564
_cell_length_b 4.564
_cell_length_c 3.786
_cell_angle_alpha 90.00
_cell_angle_beta 90.00
_cell_angle_gamma 90.00
loop_
_atom_site_label
_atom_site_type_symbol
_atom_site_fract_x
_atom_site_fract_y
_atom_site_fract_z
_atom_site_occupancy
Li1 Li 0.000 0.500 0.000 1
Mg1 Mg 0.000 0.000 0.500 1
Pb1 Pb 0.500 0.500 0.500 1
# * crystal system: tetragonal
# * density of states at the Fermi level: 1.22 states/eV per cell
# * E_form: -329.0 meV/atom
# * total energy: -86.85 eV for the cell shown
# * M_tot: 0.0 μB/cell

---

No. 3
# LiMgPd3 | Alexandria via LeMat-Bulk | SCAN | PBEsol geometry
data_LiMgPd3
_chemical_formula_sum 'Li1 Mg1 Pd3'
_space_group_name_H-M_alt 'P m -3 m'
_space_group_IT_number 221
_space_group_name_Hall '-P 4 2 3'
_cell_length_a 4.613
_cell_length_b 4.613
_cell_length_c 4.613
_cell_angle_alpha 90.00
_cell_angle_beta 90.00
_cell_angle_gamma 90.00
loop_
_atom_site_label
_atom_site_type_symbol
_atom_site_fract_x
_atom_site_fract_y
_atom_site_fract_z
_atom_site_occupancy
Li1 Li 0.000 0.000 0.000 1
Mg1 Mg 0.500 0.500 0.500 1
Pd1 Pd 0.000 0.500 0.500 1
# * crystal system: cubic
# * density of states at the Fermi level: 1.22 states/eV per cell
# * E_form: 327.4 meV/atom
# * total energy: -104.05 eV for the cell shown
# * M_tot: 0.0 μB/cell

---

No. 4
# LiMg2Pd2 | Alexandria via LeMat-Bulk | SCAN | PBEsol geometry
data_LiMg2Pd2
_chemical_formula_sum 'Li2 Mg4 Pd4'
_space_group_name_H-M_alt 'P 4/m b m'
_space_group_IT_number 127
_space_group_name_Hall '-P 4 2ab'
_cell_length_a 7.508
_cell_length_b 7.508
_cell_length_c 2.985
_cell_angle_alpha 90.00
_cell_angle_beta 90.00
_cell_angle_gamma 90.00
loop_
_atom_site_label
_atom_site_type_symbol
_atom_site_fract_x
_atom_site_fract_y
_atom_site_fract_z
_atom_site_occupancy
Li1 Li 0.000 0.000 0.000 1
Mg1 Mg 0.156 0.344 0.500 1
Pd1 Pd 0.140 0.640 0.000 1
# * crystal system: tetragonal
# * density of states at the Fermi level: 2.79 states/eV per cell
# * E_form: -599.6 meV/atom
# * total energy: -161.77 eV for the cell shown
# * M_tot: 0.0 μB/cell

---

No. 5
# LiMg3Pd | Alexandria via LeMat-Bulk | SCAN | PBEsol geometry
data_LiMg3Pd
_chemical_formula_sum 'Li1 Mg3 Pd1'
_space_group_name_H-M_alt 'P m -3 m'
_space_group_IT_number 221
_space_group_name_Hall '-P 4 2 3'
_cell_length_a 4.975
_cell_length_b 4.975
_cell_length_c 4.975
_cell_angle_alpha 90.00
_cell_angle_beta 90.00
_cell_angle_gamma 90.00
loop_
_atom_site_label
_atom_site_type_symbol
_atom_site_fract_x
_atom_site_fract_y
_atom_site_fract_z
_atom_site_occupancy
Li1 Li 0.000 0.000 0.000 1
Mg1 Mg 0.000 0.500 0.500 1
Pd1 Pd 0.500 0.500 0.500 1
# * crystal system: cubic
# * density of states at the Fermi level: 2.21 states/eV per cell
# * E_form: -219.7 meV/atom
# * total energy: -51.18 eV for the cell shown
# * M_tot: 0.0 μB/cell

---

No. 6
# Li2Mg2Pd | Alexandria via LeMat-Bulk | SCAN | PBEsol geometry
data_Li2Mg2Pd
_chemical_formula_sum 'Li4 Mg4 Pd2'
_space_group_name_H-M_alt 'P 4/m b m'
_space_group_IT_number 127
_space_group_name_Hall '-P 4 2ab'
_cell_length_a 6.321
_cell_length_b 6.321
_cell_length_c 4.161
_cell_angle_alpha 90.00
_cell_angle_beta 90.00
_cell_angle_gamma 90.00
loop_
_atom_site_label
_atom_site_type_symbol
_atom_site_fract_x
_atom_site_fract_y
_atom_site_fract_z
_atom_site_occupancy
Li1 Li 0.131 0.369 0.000 1
Mg1 Mg 0.186 0.686 0.500 1
Pd1 Pd 0.000 0.000 0.000 1
# * crystal system: tetragonal
# * density of states at the Fermi level: 3.51 states/eV per cell
# * E_form: -195.2 meV/atom
# * total energy: -96.95 eV for the cell shown
# * M_tot: 0.0 μB/cell

---

No. 7
# LiMgPd | Alexandria via LeMat-Bulk | SCAN | PBEsol geometry
data_LiMgPd
_chemical_formula_sum 'Li2 Mg2 Pd2'
_space_group_name_H-M_alt 'P 3 m 1'
_space_group_IT_number 156
_cell_length_a 4.4154
_cell_length_b 4.4154
_cell_length_c 5.4779
_cell_angle_alpha 90.00
_cell_angle_beta 90.00
_cell_angle_gamma 120.00
loop_
_space_group_symop_operation_xyz
'x,y,z'
'-y,x-y,z'
'-x+y,-x,z'
'-y,-x,z'
'-x+y,y,z'
'x,x-y,z'
loop_
_atom_site_label
_atom_site_type_symbol
_atom_site_fract_x
_atom_site_fract_y
_atom_site_fract_z
_atom_site_occupancy
Li1 Li 0.0000 0.0000 0.0000 1
Li2 Li 0.3333 0.6667 0.1648 1
Mg1 Mg 0.0000 0.0000 0.4858 1
Mg2 Mg 0.6667 0.3333 0.8210 1
Pd1 Pd 0.3333 0.6667 0.6505 1
Pd2 Pd 0.6667 0.3333 0.3222 1
# * crystal system: trigonal
# * density of states at the Fermi level: 2.01 states/eV per cell
# * E_form: -538.9 meV/atom
# * total energy: -83.51 eV for the cell shown
# * M_tot: 0.0 μB/cell

---

No. 8
# Li2MgPt | Alexandria via LeMat-Bulk | SCAN | PBEsol geometry
data_Li2MgPt
_chemical_formula_sum 'Li2 Mg1 Pt1'
_space_group_name_H-M_alt 'P m m 2'
_space_group_IT_number 25
_cell_length_a 2.878
_cell_length_b 3.758
_cell_length_c 5.790
_cell_angle_alpha 90.00
_cell_angle_beta 90.00
_cell_angle_gamma 90.00
loop_
_space_group_symop_operation_xyz
'x,y,z'
'-x,-y,z'
'-x,y,z'
'x,-y,z'
loop_
_atom_site_label
_atom_site_type_symbol
_atom_site_fract_x
_atom_site_fract_y
_atom_site_fract_z
_atom_site_occupancy
Li1 Li 0.000 0.000 0.000 1
Li2 Li 0.500 0.500 0.245 1
Mg1 Mg 0.000 0.000 0.554 1
Pt1 Pt 0.500 0.500 0.778 1
# * crystal system: orthorhombic
# * density of states at the Fermi level: 1.17 states/eV per cell
# * E_form: -528.9 meV/atom
# * total energy: -82.06 eV for the cell shown
# * M_tot: 0.0 μB/cell

---

No. 9
# Li2MgPt | Alexandria via LeMat-Bulk | SCAN | PBEsol geometry
data_Li2MgPt
_chemical_formula_sum 'Li2 Mg1 Pt1'
_space_group_name_H-M_alt 'P m m m'
_space_group_IT_number 47
_cell_length_a 2.992
_cell_length_b 4.414
_cell_length_c 4.577
_cell_angle_alpha 90.00
_cell_angle_beta 90.00
_cell_angle_gamma 90.00
loop_
_space_group_symop_operation_xyz
'x,y,z'
'-x,-y,-z'
'-x,-y,z'
'x,y,-z'
'x,-y,-z'
'-x,y,z'
'-x,y,-z'
'x,-y,z'
loop_
_atom_site_label
_atom_site_type_symbol
_atom_site_fract_x
_atom_site_fract_y
_atom_site_fract_z
_atom_site_occupancy
Li1 Li 0.000 0.000 0.000 1
Li2 Li 0.500 0.500 0.000 1
Mg1 Mg 0.000 0.500 0.500 1
Pt1 Pt 0.500 0.000 0.500 1
# * crystal system: orthorhombic
# * density of states at the Fermi level: 1.18 states/eV per cell
# * E_form: -526.9 meV/atom
# * total energy: -82.05 eV for the cell shown
# * M_tot: 0.0 μB/cell

---

No. 10
# Li2MgPt | Alexandria via LeMat-Bulk | SCAN | PBEsol geometry
data_Li2MgPt
_chemical_formula_sum 'Li4 Mg2 Pt2'
_space_group_name_H-M_alt 'I m m m'
_space_group_IT_number 71
_space_group_name_Hall '-I 2 2'
_cell_length_a 2.975
_cell_length_b 4.478
_cell_length_c 9.339
_cell_angle_alpha 90.00
_cell_angle_beta 90.00
_cell_angle_gamma 90.00
loop_
_atom_site_label
_atom_site_type_symbol
_atom_site_fract_x
_atom_site_fract_y
_atom_site_fract_z
_atom_site_occupancy
Li1 Li 0.000 0.000 0.225 1
Mg1 Mg 0.000 0.500 0.000 1
Pt1 Pt 0.000 0.500 0.500 1
# * crystal system: orthorhombic
# * density of states at the Fermi level: 2.42 states/eV per cell
# * E_form: -586.4 meV/atom
# * total energy: -164.58 eV for the cell shown
# * M_tot: 0.0 μB/cell

---

No. 11
# LiMgPt2 | Alexandria via LeMat-Bulk | SCAN | PBEsol geometry
data_LiMgPt2
_chemical_formula_sum 'Li1 Mg1 Pt2'
_space_group_name_H-M_alt 'P m m m'
_space_group_IT_number 47
_cell_length_a 2.836
_cell_length_b 3.546
_cell_length_c 5.654
_cell_angle_alpha 90.00
_cell_angle_beta 90.00
_cell_angle_gamma 90.00
loop_
_space_group_symop_operation_xyz
'x,y,z'
'-x,-y,-z'
'-x,-y,z'
'x,y,-z'
'x,-y,-z'
'-x,y,z'
'-x,y,-z'
'x,-y,z'
loop_
_atom_site_label
_atom_site_type_symbol
_atom_site_fract_x
_atom_site_fract_y
_atom_site_fract_z
_atom_site_occupancy
Li1 Li 0.000 0.000 0.000 1
Mg1 Mg 0.000 0.000 0.500 1
Pt1 Pt 0.500 0.500 0.241 1
# * crystal system: orthorhombic
# * density of states at the Fermi level: 1.09 states/eV per cell
# * E_form: -816.0 meV/atom
# * total energy: -151.01 eV for the cell shown
# * M_tot: 0.0 μB/cell

---

No. 12
# Li3MgPt | Alexandria via LeMat-Bulk | SCAN | PBEsol geometry
data_Li3MgPt
_chemical_formula_sum 'Li3 Mg1 Pt1'
_space_group_name_H-M_alt 'P m -3 m'
_space_group_IT_number 221
_space_group_name_Hall '-P 4 2 3'
_cell_length_a 4.669
_cell_length_b 4.669
_cell_length_c 4.669
_cell_angle_alpha 90.00
_cell_angle_beta 90.00
_cell_angle_gamma 90.00
loop_
_atom_site_label
_atom_site_type_symbol
_atom_site_fract_x
_atom_site_fract_y
_atom_site_fract_z
_atom_site_occupancy
Li1 Li 0.000 0.000 0.500 1
Mg1 Mg 0.500 0.500 0.500 1
Pt1 Pt 0.000 0.000 0.000 1
# * crystal system: cubic
# * density of states at the Fermi level: 1.97 states/eV per cell
# * E_form: -118.3 meV/atom
# * total energy: -82.93 eV for the cell shown
# * M_tot: 0.0 μB/cell